(1)
The following is a GGA-PBE calculation of crystalline KZrV2S at its relaxed geometry, from Alexandria.

The structure in POSCAR format:
```
KZrV2S
1.0
4.539 0.000 0.000
0.000 4.539 0.000
0.000 0.000 5.064
K Zr V S
1 1 2 1
Direct
0.000 0.000 0.000 K
0.500 0.500 0.000 Zr
0.000 0.500 0.500 V
0.500 0.000 0.500 V
0.500 0.500 0.500 S
```

Computed properties:
* symmetry: P4/mmm, No. 123
* calculated volume: 20.9 A^3/atom
* formation energy without anion corrections: 2.6 eV per formula unit
* energy relative to the lowest polymorph listed for this composition: 0.00 eV/f.u.

(2)
The following is a GGA-PBE calculation of crystalline HoHf2Ga at its relaxed geometry, from Alexandria.

The structure in POSCAR format:
```
HoHf2Ga
1.0
1.558 0.900 10.973
-1.558 0.900 10.973
0.000 -1.799 10.973
Ho Hf Ga
1 2 1
Direct
0.000 0.000 0.000 Ho
0.096 0.096 0.096 Hf
0.904 0.904 0.904 Hf
0.500 0.500 0.500 Ga
```

Computed properties:
* symmetry: R-3m, No. 166
* calculated volume: 23.1 A^3/atom
* DFT formation energy: 0.202 eV per atom
* energy relative to the lowest polymorph listed for this composition: 1.42 eV/f.u.

(3)
The following is a GGA-PBE calculation of crystalline ScTl2In at its relaxed geometry, from Alexandria.

The structure in POSCAR format:
```
ScTl2In
1.0
-2.228 2.228 5.023
2.228 -2.228 5.023
2.228 2.228 -5.023
Sc Tl In
1 2 1
Direct
0.000 0.000 0.000 Sc
0.250 0.750 0.500 Tl
0.500 0.500 0.000 Tl
0.750 0.250 0.500 In
```

Computed properties:
* symmetry: I-4m2, No. 119
* calculated volume: 24.9 A^3/atom
* DFT formation energy: -0.113 eV per atom

(4)
The following is a GGA-PBE calculation of crystalline HfIn2ReNi at its relaxed geometry, from Alexandria.

The structure in POSCAR format:
```
HfIn2ReNi
1.0
5.463 0.000 0.000
0.000 5.463 0.000
0.000 0.000 4.490
Hf In Re Ni
1 2 1 1
Direct
0.000 0.000 0.000 Hf
0.000 0.500 0.000 In
0.500 0.000 0.000 In
0.500 0.500 0.500 Re
0.000 0.000 0.500 Ni
```

Computed properties:
* symmetry: P4/mmm, No. 123
* calculated volume: 26.8 A^3/atom
* DFT formation energy: 1.825 eV per atom

What is the calculated volume in the second record?
23.1 A^3/atom

Look up the calculated volume of the third one.
24.9 A^3/atom